Here is a relaxed Al3HOs crystal from the Alexandria database. Energies are from PBE.

Calculated values
Electronic total energy, eV per cell: -26.03
Magnetic moment, μB/f.u.: 0.000

Cell: 3.909 3.909 3.909 Å, 90.00 90.00 90.00°
Space group Pm-3m (No. 221)
Asymmetric unit:
Al (0.000, 0.000, 0.500)
H (0.000, 0.000, 0.000)
Os (0.500, 0.500, 0.500)